Density functional theory data (GGA-PBE) for crystalline CaHfGe2Pd at its relaxed geometry.

Calculated formation energy in kJ per mole of atoms: 92.2
Total energy in eV for the cell shown: -21.6
Space group: P4/mmm, No. 123
V in Å³ per cell: 122
Density in g cm⁻³: 6.39

Cell lengths 5.1082, 4.6833, 5.1082 Å; angles 90.00, 90.00, 90.00 degrees
Fractional coordinates of all 5 atoms:
1 Ca 0.0000 0.0000 0.0000
2 Pd 0.0000 0.5000 0.0000
3 Hf 0.5000 0.5000 0.5000
4 Ge 0.5000 0.0000 0.0000
5 Ge 0.0000 0.0000 0.5000

=====

Density functional theory data (GGA-PBE) for crystalline Mg2TlGe at its relaxed geometry.

Calculated formation energy in kJ per mole of atoms: -2.9
Total energy in eV for the cell shown: -10.3
Space group: R-3m, No. 166
V in Å³ per cell: 89
Density in g cm⁻³: 6.04

Cell lengths 3.3454, 3.3454, 9.4312 Å; angles 79.78, 79.78, 60.00 degrees
Fractional coordinates of all 4 atoms:
1 Tl 0.5000 0.5000 0.5000
2 Mg 0.7434 0.7434 0.7697
3 Mg 0.2566 0.2566 0.2303
4 Ge 0.0000 0.0000 0.0000

=====

Density functional theory data (GGA-PBE) for crystalline TiPN3 at its relaxed geometry.

Total energy in eV for the cell shown: -75.8
Space group: Cmcm, No. 63
Raw formation energy in eV per atom: 0.08
V in Å³ per cell: 132
Density in g cm⁻³: 3.04

Cell lengths 7.5300, 7.5300, 4.9711 Å; angles 90.00, 90.00, 152.11 degrees
Fractional coordinates of all 10 atoms:
1 P 0.9377 0.0623 0.7500
2 P 0.0623 0.9377 0.2500
3 N 0.0000 0.0000 0.0000
4 N 0.4602 0.1617 0.2500
5 N 0.8383 0.5398 0.2500
6 N 0.5398 0.8383 0.7500
7 N 0.0000 0.0000 0.5000
8 N 0.1617 0.4602 0.7500
9 Ti 0.7375 0.2626 0.7500
10 Ti 0.2626 0.7375 0.2500

=====

Density functional theory data (GGA-PBE) for crystalline RbY2ReO8 at its relaxed geometry.

Total energy in eV for the cell shown: -92.5
Space group: C2/m, No. 12
Raw formation energy in eV per atom: -2.21
V in Å³ per cell: 189
Density in g cm⁻³: 5.06

Cell lengths 4.9479, 4.9472, 7.7402 Å; angles 89.47, 89.47, 91.20 degrees
Fractional coordinates of all 12 atoms:
1 O 0.8214 0.1921 0.8256
2 O 0.6088 0.6100 0.4993
3 O 0.3912 0.3900 0.5007
4 O 0.1928 0.8220 0.8257
5 O 0.8072 0.1780 0.1743
6 O 0.2808 0.2818 0.0059
7 O 0.1786 0.8079 0.1744
8 O 0.7192 0.7182 0.9941
9 Rb 0.0000 0.0000 0.5000
10 Y 0.4949 0.4948 0.7839
11 Y 0.5051 0.5052 0.2161
12 Re 0.0000 0.0000 0.0000

=====

- Among the records above, which one has the lowest density?
  TiPN3

=====

- Number 1 is which compound?
  CaHfGe2Pd

=====

- What is the density in the first record?
  6.39 g cm⁻³